1.
A plane-wave DFT calculation with PBE-GGA was carried out for an optimized crystal structure of HfI4.

Lattice parameters (Å, degrees): 9.019 9.019 13.243 72.03 72.03 89.77
Sites, in units of the cell vectors:
I1 0.051 0.266 0.637
I2 0.048 0.832 0.614
I3 0.734 0.949 0.863
I4 0.832 0.048 0.114
I5 0.169 0.408 0.863
I6 0.704 0.389 0.888
I7 0.168 0.952 0.886
I8 0.949 0.734 0.363
I9 0.389 0.704 0.388
I10 0.831 0.592 0.137
I11 0.266 0.051 0.137
I12 0.592 0.831 0.637
I13 0.952 0.168 0.386
I14 0.408 0.169 0.363
I15 0.296 0.611 0.112
I16 0.611 0.296 0.612
Hf1 0.059 0.798 0.124
Hf2 0.798 0.059 0.624
Hf3 0.202 0.941 0.376
Hf4 0.941 0.202 0.876

Properties
* formation energy from raw total energies: -892 meV/atom
* E: -4.123 eV per atom
* theoretical density: 4.699 g/cm3

=====

2.
A plane-wave DFT calculation with PBE-GGA was carried out for an optimized crystal structure of CdIn2W.

Lattice parameters (Å, degrees): 5.425 5.425 5.425 134.62 134.63 66.11
Sites, in units of the cell vectors:
W1 0.750 0.250 0.500
In1 0.500 0.500 0.000
In2 0.000 0.000 0.000
Cd1 0.250 0.750 0.500

Properties
* E: -4.296 eV per atom
* ΔE_f: 208 kJ/mol of formula units
* theoretical density: 10.965 g/cm3

=====

3.
A plane-wave DFT calculation with PBE-GGA was carried out for an optimized crystal structure of Ca3Cr.

Lattice parameters (Å, degrees): 5.709 5.709 5.709 60.00 60.00 60.00
Sites, in units of the cell vectors:
Cr1 0.750 0.750 0.750
Ca1 0.250 0.250 0.250
Ca2 0.500 0.500 0.500
Ca3 0.000 0.000 0.000

Properties
* E: -3.506 eV per atom
* ΔE_f: 155 kJ/mol of formula units
* theoretical density: 2.174 g/cm3

=====

4.
A plane-wave DFT calculation with PBE-GGA was carried out for an optimized crystal structure of CeAu2.

Lattice parameters (Å, degrees): 5.733 5.733 5.733 60.00 60.00 60.00
Sites, in units of the cell vectors:
Au1 0.625 0.625 0.625
Au2 0.125 0.625 0.625
Au3 0.625 0.625 0.125
Au4 0.625 0.125 0.625
Ce1 0.000 0.000 0.000
Ce2 0.250 0.250 0.250

Properties
* E: -4.596 eV per atom
* ΔE_f: -125 kJ/mol of formula units
* theoretical density: 13.313 g/cm3

=====

5.
A plane-wave DFT calculation with PBE-GGA was carried out for an optimized crystal structure of SrCaSn2.

Lattice parameters (Å, degrees): 4.734 5.048 5.048 90.00 90.00 90.00
Sites, in units of the cell vectors:
Sr1 0.500 0.000 0.000
Sn1 0.000 0.500 0.000
Sn2 0.000 0.000 0.500
Ca1 0.500 0.500 0.500

Properties
* E: -3.518 eV per atom
* ΔE_f: -230 kJ/mol of formula units
* theoretical density: 5.026 g/cm3

=====

6.
A plane-wave DFT calculation with PBE-GGA was carried out for an optimized crystal structure of RbTlZn2Pd.

Lattice parameters (Å, degrees): 5.078 5.078 5.346 90.00 90.00 90.00
Sites, in units of the cell vectors:
Pd1 0.000 0.000 0.000
Zn1 0.000 0.500 0.000
Zn2 0.500 0.000 0.000
Rb1 0.500 0.500 0.500
Tl1 0.000 0.000 0.500

Properties
* E: -2.309 eV per atom
* ΔE_f: -45 kJ/mol of formula units
* theoretical density: 6.350 g/cm3